Ta2TeCl | PBE | relaxed

Summary:
- Excess energy over the best structure of this formula in the dataset: 0.40 eV per formula unit
- Crystal system: tetragonal

Unit cell a=3.306 b=3.306 c=8.631 alpha=90.00 beta=90.00 gamma=90.00
Sites, in units of the cell vectors:
Te1 0.000 0.000 0.422
Ta1 0.500 0.500 0.222
Cl1 0.500 0.500 0.820
Ta2 0.000 0.000 0.036

***

TaTe2Cl | PBE | relaxed

Summary:
- Excess energy over the best structure of this formula in the dataset: 2.17 eV per formula unit
- Crystal system: monoclinic

Unit cell a=4.522 b=3.537 c=7.157 alpha=78.40 beta=90.00 gamma=90.00
Sites, in units of the cell vectors:
Ta1 0.500 0.700 0.669
Te1 0.000 0.865 0.933
Cl1 0.000 0.650 0.534
Te2 0.500 0.286 0.363

***

Ta2TeCl | PBE | relaxed

Summary:
- Excess energy over the best structure of this formula in the dataset: 2.49 eV per formula unit
- Crystal system: orthorhombic

Unit cell a=5.631 b=5.631 c=5.631 alpha=149.16 beta=118.03 gamma=70.82
Sites, in units of the cell vectors:
Ta1 0.015 0.015 0.000
Ta2 0.485 0.485 0.000
Te1 0.750 0.250 0.500
Cl1 0.250 0.750 0.500

***

TaTi2Te2Cl4 | PBE | relaxed

Summary:
- Crystal system: trigonal

Unit cell a=3.397 b=3.397 c=22.700 alpha=90.00 beta=90.00 gamma=120.00
Last column: magnetic moment on the atom in μB.
Sites, in units of the cell vectors:
Cl1 0.667 0.333 0.901  0.00
Ti1 0.667 0.333 0.664  0.00
Cl2 0.000 0.000 0.733  0.00
Te1 0.667 0.333 0.237  0.07
Cl3 0.667 0.333 0.038  0.00
Te2 0.667 0.333 0.413  0.07
Ta1 0.000 0.000 0.325  0.22
Cl4 0.000 0.000 0.596  0.00
Ti2 0.000 0.000 0.970  0.00

***

| no. | raw formation energy (eV per atom) |
| --- | --- |
| 1 | -0.06 |
| 2 | 0.05 |
| 3 | 0.47 |
| 4 | -1.05 |